No. 1
An optimized crystal structure of Y3Tm2Ir2, computed with PBE-GGA.

Summary:
Magnetization (μB/cell): 0.00
Calculated formation energy (eV per atom): -0.63

Unit cell a=12.0053 b=3.8431 c=8.7165 alpha=90.00 beta=115.27 gamma=90.00
Last column: nearest neighbours and their distance in Å.
Space group C2/m (No. 12)
Symmetry-distinct sites (fractional):
1 Y 0.0000 0.0000 0.0000  4 Ir 2.95
2 Y 0.1182 0.0000 0.4313  3 Ir 2.90-2.91
3 Tm 0.1685 0.5000 0.8112  2 Ir 2.77
4 Ir 0.1802 0.5000 0.2307  2 Tm 2.77, 5 Y 2.90-2.95



No. 2
An optimized crystal structure of AcSiAgS4, computed with PBE-GGA.

Summary:
Formation energy without anion corrections (eV/atom): -1.0337
Magnetization (μB/cell): 0.00

Unit cell a=6.4282 b=6.9441 c=7.6519 alpha=90.00 beta=105.07 gamma=90.00
Last column: nearest neighbours and their distance in Å.
Space group P2_1/m (No. 11)
Symmetry-distinct sites (fractional):
1 Ac 0.2429 0.2500 0.0654  6 S 2.98-3.07
2 Si 0.2289 0.7500 0.3126  4 S 2.10-2.15
3 Ag 0.2121 0.2500 0.5436  3 S 2.56-2.80
4 S 0.0027 0.5148 0.2633  1 Si 2.15
5 S 0.3677 0.7500 0.0865  1 Si 2.14
6 S 0.4466 0.7500 0.5701  1 Si 2.10



No. 3
An optimized crystal structure of Zr2NbCSe, computed with PBE-GGA.

Summary:
Formation energy without anion corrections (eV/atom): 0.7985
Magnetization (μB/cell): 0.00

Unit cell a=5.2065 b=5.2065 c=4.0253 alpha=90.00 beta=90.00 gamma=90.00
Last column: nearest neighbours and their distance in Å.
Space group P4/mmm (No. 123)
Symmetry-distinct sites (fractional):
1 Zr 0.0000 0.5000 0.0000  2 Nb 2.60
2 Nb 0.0000 0.0000 0.0000  2 C 2.01
3 C 0.0000 0.0000 0.5000  2 Nb 2.01
4 Se 0.5000 0.5000 0.5000  8 Zr 3.29, 4 C 3.68



No. 4
An optimized crystal structure of AcHCl4, computed with PBE-GGA.

Summary:
Raw total energy (eV for the cell shown): -100.1
Magnetization (μB/cell): 0.00

Unit cell a=9.1056 b=9.1056 c=8.3864 alpha=90.00 beta=90.00 gamma=90.00
Last column: nearest neighbours and their distance in Å.
Space group I4_1md (No. 109)
Symmetry-distinct sites (fractional):
1 Ac 0.0000 0.0000 0.0000  6 Cl 2.87-3.12, 1 H 3.13
2 H 0.0000 0.0000 0.3736  2 Cl 1.55
3 Cl 0.0000 0.1676 0.3420  1 H 1.55
4 Cl 0.0000 0.3141 0.9681  2 Ac 2.87-2.91



No. 5
An optimized crystal structure of Hg3Cl2O, computed with PBE-GGA.

Summary:
Formation energy without anion corrections (eV/atom): -0.4366
Magnetization (μB/cell): 0.00

Unit cell a=6.0854 b=6.9467 c=9.5301 alpha=74.78 beta=84.39 gamma=68.22
Last column: nearest neighbours and their distance in Å.
Space group P-1 (No. 2)
Symmetry-distinct sites (fractional):
1 Hg 0.2181 0.1374 0.1327  1 Cl 2.50, 1 O 2.52, 1 Hg 2.61
2 Hg 0.2429 0.6918 0.8805  1 O 2.17
3 Hg 0.2760 0.5474 0.3191  1 O 2.03
4 Cl 0.1535 0.7007 0.5154  1 Hg 2.32
5 Cl 0.3819 0.1475 0.8135  1 Hg 2.50
6 O 0.3750 0.4229 0.1420  2 Hg 2.03-2.17



No. 6
An optimized crystal structure of Bi2SbS, computed with PBE-GGA.

Summary:
Formation energy without anion corrections (eV/atom): 0.1325
Polymorph energy (0 for the lowest one) (eV/f.u.): 0.65
Magnetization (μB/cell): 0.00

Unit cell a=6.8774 b=6.8774 c=13.3636 alpha=90.00 beta=90.00 gamma=90.00
Last column: nearest neighbours and their distance in Å.
Space group I-42d (No. 122)
Symmetry-distinct sites (fractional):
1 Bi 0.2177 0.2500 0.1250  2 S 2.83, 2 Sb 3.08
2 Sb 0.0000 0.0000 0.5000  4 Bi 3.08
3 S 0.0000 0.0000 0.0000  4 Bi 2.83



- What is the magnetization in the fifth record?
  0.00 μB/cell



Repeat the first record exactly.
An optimized crystal structure of Y3Tm2Ir2, computed with PBE-GGA.

Summary:
Magnetization (μB/cell): 0.00
Calculated formation energy (eV per atom): -0.63

Unit cell a=12.0053 b=3.8431 c=8.7165 alpha=90.00 beta=115.27 gamma=90.00
Last column: nearest neighbours and their distance in Å.
Space group C2/m (No. 12)
Symmetry-distinct sites (fractional):
1 Y 0.0000 0.0000 0.0000  4 Ir 2.95
2 Y 0.1182 0.0000 0.4313  3 Ir 2.90-2.91
3 Tm 0.1685 0.5000 0.8112  2 Ir 2.77
4 Ir 0.1802 0.5000 0.2307  2 Tm 2.77, 5 Y 2.90-2.95



- What is the magnetization in the sixth record?
  0.00 μB/cell